No. 1
## Ca2MgHg (GGA-PBEsol)

Data for a relaxed Ca2MgHg crystal.

Cell lengths 3.736, 5.441, 6.472 Å; angles 115.17, 106.78, 90.00 degrees
Atoms (fractional coordinates):
Hg 0.486 0.483 0.971
Ca 0.010 0.009 0.020
Mg 0.790 0.292 0.579
Ca 0.215 0.716 0.429

Calculated values
V = 112.9 Å³/f.u.
Energy of formation from the pure elements = -0.315 eV/atom
Density of states at the Fermi level = 2.80 states/eV per cell
Space-group type = Cm (8)


No. 2
## VSbO4 (GGA-PBEsol)

Data for a relaxed VSbO4 crystal.

Cell lengths 5.562, 5.562, 5.562 Å; angles 108.21, 108.21, 112.03 degrees
Last column: magnetic moment on the atom in μB.
Atoms (fractional coordinates):
O 0.751 0.943 0.191  0.02
O 0.298 0.996 0.302  -0.04
O 0.751 0.560 0.809  0.02
O 0.694 0.996 0.698  -0.04
Sb 0.746 0.246 0.500  0.07
O 0.193 0.501 0.691  0.02
O 0.246 0.048 0.802  -0.04
O 0.246 0.444 0.198  -0.04
Sb 0.496 0.496 0.000  0.07
O 0.810 0.501 0.309  0.02
V 0.258 0.758 0.500  1.71
V 0.008 0.008 0.000  1.71

Calculated values
V = 66.1 Å³/f.u.
Uncorrected formation energy = -1.8350 eV/atom
Density of states at the Fermi level = 3.12 states/eV per cell
Space-group type = I4_1md (109)